A geometry-optimized InCuMo2O8 structure, computed with PBE+U.

Values from the calculation:
- symmetry = C2/c (15)
- E (eV per formula unit) = -77.64
- theoretical density (g/cm³) = 5.77

Cell lengths 7.6230, 7.6230, 5.0361 Å; angles 91.02, 91.02, 101.37 degrees
Last column: nearest neighbours and their distance in Å.
Fractional coordinates of all 24 atoms:
In 0.1591 0.8409 0.7500  6 O 2.14-2.29
In 0.8409 0.1591 0.2500  6 O 2.14-2.29
Cu 0.3424 0.6576 0.2500  4 O 2.06-2.09
Cu 0.6576 0.3424 0.7500  4 O 2.06-2.09
Mo 0.1713 0.3483 0.7505  4 O 1.83-1.98
Mo 0.3483 0.1713 0.2505  4 O 1.83-1.98
Mo 0.6517 0.8287 0.7495  4 O 1.83-1.98
Mo 0.8287 0.6517 0.2495  4 O 1.83-1.98
O 0.0545 0.6867 0.3968  1 Mo 1.83
O 0.0938 0.1973 0.0604  2 Mo 1.98-2.19, 1 In 2.14
O 0.1973 0.0938 0.5604  2 Mo 1.98-2.19, 1 In 2.14
O 0.1966 0.5706 0.9075  1 Mo 1.83
O 0.3074 0.4123 0.4417  1 Mo 1.90, 1 Cu 2.09
O 0.3133 0.9455 0.1032  1 Mo 1.83
O 0.4123 0.3074 0.9417  1 Mo 1.90, 1 Cu 2.09
O 0.4294 0.8034 0.5925  1 Mo 1.83
O 0.5706 0.1966 0.4075  1 Mo 1.83
O 0.5877 0.6926 0.0583  1 Mo 1.90, 1 Cu 2.09
O 0.6867 0.0545 0.8968  1 Mo 1.83
O 0.6926 0.5877 0.5583  1 Mo 1.90, 1 Cu 2.09
O 0.8034 0.4294 0.0925  1 Mo 1.83
O 0.8027 0.9062 0.4396  2 Mo 1.98-2.19, 1 In 2.14
O 0.9062 0.8027 0.9396  2 Mo 1.98-2.19, 1 In 2.14
O 0.9455 0.3133 0.6032  1 Mo 1.83